Computed, not measured: a relaxed Re2NiCl crystal at the PBE level of DFT.

Computed properties:
ΔE to the lowest computed polymorph   1.77 eV/f.u.
DOS at the Fermi energy   3.4 states/eV/f.u.
Symmetry   Cm, No. 8
Energy relative to the elements, uncorrected   0.74 eV/atom
Final energy   -7.389 eV per atom

Lattice parameters (Å, degrees): 4.659 4.659 4.682 92.01 92.01 35.08
Fractional positions:
Re (0.000, 0.000, 0.000)
Re (0.726, 0.726, 0.764)
Ni (0.453, 0.453, 0.516)
Cl (0.221, 0.221, 0.354)



Computed, not measured: a relaxed ReNi2Cl crystal at the PBE level of DFT.

Computed properties:
ΔE to the lowest computed polymorph   1.37 eV/f.u.
DOS at the Fermi energy   3.3 states/eV/f.u.
Symmetry   Pm, No. 6
Energy relative to the elements, uncorrected   0.52 eV/atom
Final energy   -5.942 eV per atom

Lattice parameters (Å, degrees): 2.740 3.872 5.448 90.00 103.99 90.00
Fractional positions:
Re (0.000, 0.000, 0.000)
Ni (0.583, 0.500, 0.171)
Ni (0.700, 0.000, 0.427)
Cl (0.849, 0.500, 0.676)



Computed, not measured: a relaxed Re2NiCl crystal at the PBE level of DFT.

Computed properties:
ΔE to the lowest computed polymorph   0.00 eV/f.u.
DOS at the Fermi energy   3.6 states/eV/f.u.
Symmetry   Pm, No. 6
Energy relative to the elements, uncorrected   0.30 eV/atom
Final energy   -7.831 eV per atom

Lattice parameters (Å, degrees): 3.006 2.935 7.210 90.00 90.06 90.00
Fractional positions:
Re (0.000, 0.000, 0.000)
Re (0.499, 0.500, 0.793)
Ni (0.999, 0.000, 0.564)
Cl (0.002, 0.500, 0.288)



Computed, not measured: a relaxed ReNi2Cl crystal at the PBE level of DFT.

Computed properties:
ΔE to the lowest computed polymorph   0.78 eV/f.u.
DOS at the Fermi energy   3.4 states/eV/f.u.
Symmetry   Cm, No. 8
Energy relative to the elements, uncorrected   0.37 eV/atom
Final energy   -6.089 eV per atom

Lattice parameters (Å, degrees): 4.239 4.239 6.252 94.03 94.03 38.25
Fractional positions:
Re (0.000, 0.000, 0.000)
Ni (0.463, 0.463, 0.324)
Ni (0.734, 0.734, 0.146)
Cl (0.447, 0.447, 0.679)



Computed, not measured: a relaxed ReNi2Cl crystal at the PBE level of DFT.

Computed properties:
ΔE to the lowest computed polymorph   1.12 eV/f.u.
DOS at the Fermi energy   3.9 states/eV/f.u.
Symmetry   Imm2, No. 44
Energy relative to the elements, uncorrected   0.46 eV/atom
Final energy   -6.004 eV per atom

Lattice parameters (Å, degrees): 6.558 6.558 6.558 156.02 145.42 42.52
Fractional positions:
Re (0.000, 0.000, 0.000)
Ni (0.437, 0.437, 0.000)
Ni (0.824, 0.324, 0.500)
Cl (0.168, 0.668, 0.500)



Computed, not measured: a relaxed ReNi2RhCl crystal at the PBE level of DFT.

Computed properties:
DOS at the Fermi energy   5.1 states/eV/f.u.
Symmetry   P4/mmm, No. 123
Energy relative to the elements, uncorrected   1.10 eV/atom
Final energy   -5.540 eV per atom

Lattice parameters (Å, degrees): 4.057 4.057 4.470 90.00 90.00 90.00
Fractional positions:
Re (0.000, 0.000, 0.000)
Ni (0.000, 0.500, 0.500)
Ni (0.500, 0.000, 0.500)
Rh (0.500, 0.500, 0.000)
Cl (0.000, 0.000, 0.500)



Computed, not measured: a relaxed ReNi2RuCl crystal at the PBE level of DFT.

Computed properties:
DOS at the Fermi energy   6.5 states/eV/f.u.
Symmetry   P4/mmm, No. 123
Energy relative to the elements, uncorrected   1.80 eV/atom
Final energy   -5.223 eV per atom

Lattice parameters (Å, degrees): 4.594 4.594 4.369 90.00 90.00 90.00
Fractional positions:
Re (0.000, 0.000, 0.000)
Ni (0.000, 0.500, 0.500)
Ni (0.500, 0.000, 0.500)
Ru (0.500, 0.500, 0.500)
Cl (0.500, 0.500, 0.000)



Computed, not measured: a relaxed ReNiSCl2 crystal at the PBE level of DFT.

Computed properties:
ΔE to the lowest computed polymorph   0.89 eV/f.u.
DOS at the Fermi energy   1.9 states/eV/f.u.
Symmetry   P4/mmm, No. 123
Energy relative to the elements, uncorrected   0.86 eV/atom
Final energy   -4.348 eV per atom

Lattice parameters (Å, degrees): 4.446 4.446 4.862 90.00 90.00 90.00
Fractional positions:
Re (0.000, 0.000, 0.000)
Ni (0.500, 0.500, 0.500)
S (0.500, 0.500, 0.000)
Cl (0.000, 0.500, 0.500)
Cl (0.500, 0.000, 0.500)



Computed, not measured: a relaxed ReNiSCl2 crystal at the PBE level of DFT.

Computed properties:
ΔE to the lowest computed polymorph   0.00 eV/f.u.
DOS at the Fermi energy   13.6 states/eV/f.u.
Symmetry   P4/mmm, No. 123
Energy relative to the elements, uncorrected   0.68 eV/atom
Final energy   -4.526 eV per atom

Lattice parameters (Å, degrees): 4.927 4.927 4.454 90.00 90.00 90.00
Fractional positions:
Re (0.000, 0.000, 0.000)
Ni (0.500, 0.500, 0.500)
S (0.000, 0.000, 0.500)
Cl (0.000, 0.500, 0.000)
Cl (0.500, 0.000, 0.000)



Computed, not measured: a relaxed ReNiS2Cl crystal at the PBE level of DFT.

Computed properties:
ΔE to the lowest computed polymorph   1.65 eV/f.u.
DOS at the Fermi energy   2.9 states/eV/f.u.
Symmetry   P4/mmm, No. 123
Energy relative to the elements, uncorrected   0.99 eV/atom
Final energy   -4.673 eV per atom

Lattice parameters (Å, degrees): 4.543 4.543 4.350 90.00 90.00 90.00
Fractional positions:
Re (0.000, 0.000, 0.000)
Ni (0.500, 0.500, 0.500)
S (0.000, 0.500, 0.500)
S (0.500, 0.000, 0.500)
Cl (0.500, 0.500, 0.000)



Computed, not measured: a relaxed ReNiS2Cl crystal at the PBE level of DFT.

Computed properties:
ΔE to the lowest computed polymorph   0.00 eV/f.u.
DOS at the Fermi energy   8.8 states/eV/f.u.
Symmetry   P4/mmm, No. 123
Energy relative to the elements, uncorrected   0.66 eV/atom
Final energy   -5.003 eV per atom

Lattice parameters (Å, degrees): 4.521 4.521 5.146 90.00 90.00 90.00
Fractional positions:
Re (0.000, 0.000, 0.000)
Ni (0.500, 0.500, 0.500)
S (0.000, 0.500, 0.000)
S (0.500, 0.000, 0.000)
Cl (0.000, 0.000, 0.500)



Computed, not measured: a relaxed ReNi2SbCl crystal at the PBE level of DFT.

Computed properties:
DOS at the Fermi energy   3.3 states/eV/f.u.
Symmetry   P4/mmm, No. 123
Energy relative to the elements, uncorrected   1.22 eV/atom
Final energy   -4.777 eV per atom

Lattice parameters (Å, degrees): 4.053 4.053 5.716 90.00 90.00 90.00
Fractional positions:
Re (0.000, 0.000, 0.000)
Ni (0.000, 0.500, 0.500)
Ni (0.500, 0.000, 0.500)
Sb (0.500, 0.500, 0.000)
Cl (0.500, 0.500, 0.500)